1.
! PBE-GGA HgP3, relaxed; values from VASP
! Energy of formation from the pure elements = 434 meV per atom
! Space-group type = P4/mmm
! E_tot = -3.70 eV/atom
&SYSTEM
  ibrav = 0, nat = 4, ntyp = 2
/
ATOMIC_SPECIES
Hg 200.59 Hg.upf
P 30.97 P.upf
CELL_PARAMETERS angstrom
-0.117 3.067 -1.351
-2.733 -0.870 -1.737
-4.610 2.473 6.012
ATOMIC_POSITIONS crystal
Hg 0.000 0.000 0.000
P 0.500 0.500 0.366
P 0.000 0.000 0.500
P 0.500 0.500 0.634



2.
! PBE-GGA Hg3P5, relaxed; values from VASP
! Energy of formation from the pure elements = 532 meV per atom
! Space-group type = P6_3/mcm
! E_tot = -2.96 eV/atom
&SYSTEM
  ibrav = 0, nat = 16, ntyp = 2
/
ATOMIC_SPECIES
P 30.97 P.upf
Hg 200.59 Hg.upf
CELL_PARAMETERS angstrom
-6.003 4.069 -5.032
3.903 -7.376 -2.878
-3.754 -2.839 2.184
ATOMIC_POSITIONS crystal
P 0.333 0.667 0.000
P 0.667 0.333 0.500
P 0.667 0.333 0.000
P 0.333 0.667 0.500
P 0.144 0.000 0.250
P 0.856 0.000 0.750
P 0.000 0.144 0.250
P 0.856 0.856 0.250
P 0.144 0.144 0.750
P 0.000 0.856 0.750
Hg 0.584 0.000 0.250
Hg 0.416 0.000 0.750
Hg 0.000 0.584 0.250
Hg 0.416 0.416 0.250
Hg 0.584 0.584 0.750
Hg 0.000 0.416 0.750



3.
! PBE-GGA Hg2P3, relaxed; values from VASP
! Energy of formation from the pure elements = 359 meV per atom
! Space-group type = P-3m1
! E_tot = -3.01 eV/atom
&SYSTEM
  ibrav = 0, nat = 5, ntyp = 2
/
ATOMIC_SPECIES
Hg 200.59 Hg.upf
P 30.97 P.upf
CELL_PARAMETERS angstrom
-0.831 2.486 2.860
-2.683 -2.525 -1.216
2.872 -5.942 6.000
ATOMIC_POSITIONS crystal
Hg 0.667 0.333 0.170
Hg 0.333 0.667 0.830
P 0.000 0.000 0.000
P 0.667 0.333 0.459
P 0.333 0.667 0.541



4.
! PBE-GGA Hg4P, relaxed; values from VASP
! Energy of formation from the pure elements = 482 meV per atom
! Space-group type = I4/mmm
! E_tot = -0.84 eV/atom
&SYSTEM
  ibrav = 0, nat = 5, ntyp = 2
/
ATOMIC_SPECIES
Hg 200.59 Hg.upf
P 30.97 P.upf
CELL_PARAMETERS angstrom
-2.010 2.010 7.894
2.010 -2.010 7.894
2.010 2.010 -7.894
ATOMIC_POSITIONS crystal
Hg 0.750 0.250 0.500
Hg 0.250 0.750 0.500
Hg 0.590 0.590 0.000
Hg 0.410 0.410 0.000
P 0.000 0.000 0.000



5.
! PBE-GGA HgP3, relaxed; values from VASP
! Energy of formation from the pure elements = 845 meV per atom
! Space-group type = Fm-3m
! E_tot = -3.29 eV/atom
&SYSTEM
  ibrav = 0, nat = 4, ntyp = 2
/
ATOMIC_SPECIES
Hg 200.59 Hg.upf
P 30.97 P.upf
CELL_PARAMETERS angstrom
-3.811 -0.889 -2.453
0.354 -1.486 -4.358
-1.105 -4.359 -1.050
ATOMIC_POSITIONS crystal
Hg 0.000 0.000 0.000
P 0.250 0.250 0.250
P 0.500 0.500 0.500
P 0.750 0.750 0.750



6.
! PBE-GGA HgP3, relaxed; values from VASP
! Energy of formation from the pure elements = 876 meV per atom
! Space-group type = P4/mmm
! E_tot = -3.26 eV/atom
&SYSTEM
  ibrav = 0, nat = 4, ntyp = 2
/
ATOMIC_SPECIES
Hg 200.59 Hg.upf
P 30.97 P.upf
CELL_PARAMETERS angstrom
5.110 0.009 0.000
-0.011 5.110 0.000
0.000 0.000 2.730
ATOMIC_POSITIONS crystal
Hg 0.000 0.000 0.000
P 0.000 0.500 0.500
P 0.500 0.000 0.500
P 0.500 0.500 0.000



7.
! PBE-GGA Hg4P3, relaxed; values from VASP
! Energy of formation from the pure elements = 402 meV per atom
! Space-group type = I4/mmm
! E_tot = -2.09 eV/atom
&SYSTEM
  ibrav = 0, nat = 7, ntyp = 2
/
ATOMIC_SPECIES
Hg 200.59 Hg.upf
P 30.97 P.upf
CELL_PARAMETERS angstrom
-0.089 -3.344 11.163
-4.002 0.217 10.943
0.326 -0.361 -11.644
ATOMIC_POSITIONS crystal
Hg 0.817 0.817 0.000
Hg 0.183 0.183 0.000
Hg 0.563 0.563 0.000
Hg 0.437 0.437 0.000
P 0.000 0.000 0.000
P 0.675 0.675 0.000
P 0.325 0.325 0.000



8.
! PBE-GGA HgP4, relaxed; values from VASP
! Energy of formation from the pure elements = 1759 meV per atom
! Space-group type = Pm-3m
! E_tot = -2.63 eV/atom
&SYSTEM
  ibrav = 0, nat = 5, ntyp = 2
/
ATOMIC_SPECIES
P 30.97 P.upf
Hg 200.59 Hg.upf
CELL_PARAMETERS angstrom
-4.359 1.310 1.890
0.828 -2.886 3.909
2.146 3.775 2.332
ATOMIC_POSITIONS crystal
P 0.000 0.000 0.000
P 0.500 0.000 0.500
P 0.000 0.500 0.500
P 0.500 0.500 0.000
Hg 0.500 0.500 0.500



9.
! PBE-GGA Hg5P, relaxed; values from VASP
! Energy of formation from the pure elements = 267 meV per atom
! Space-group type = C2/m
! E_tot = -0.89 eV/atom
&SYSTEM
  ibrav = 0, nat = 6, ntyp = 2
/
ATOMIC_SPECIES
Hg 200.59 Hg.upf
P 30.97 P.upf
CELL_PARAMETERS angstrom
-0.339 2.579 -1.019
-6.485 -0.133 -2.007
-6.340 3.021 5.923
ATOMIC_POSITIONS crystal
Hg 0.958 0.046 0.039
Hg 0.305 0.000 0.389
Hg 0.653 0.954 0.739
Hg 0.643 0.522 0.193
Hg 0.968 0.478 0.585
P 0.306 0.500 0.889



10.
! PBE-GGA Hg5P, relaxed; values from VASP
! Energy of formation from the pure elements = 159 meV per atom
! Space-group type = Cm
! E_tot = -0.99 eV/atom
&SYSTEM
  ibrav = 0, nat = 6, ntyp = 2
/
ATOMIC_SPECIES
Hg 200.59 Hg.upf
P 30.97 P.upf
CELL_PARAMETERS angstrom
1.398 -5.833 2.277
4.018 -2.626 4.257
-2.793 -1.261 5.737
ATOMIC_POSITIONS crystal
Hg 0.013 0.013 0.828
Hg 0.328 0.328 0.250
Hg 0.756 0.756 0.854
Hg 0.619 0.619 0.485
Hg 0.949 0.949 0.391
P 0.168 0.168 0.025



11.
! PBE-GGA Hg3P2, relaxed; values from VASP
! Energy of formation from the pure elements = 331 meV per atom
! Space-group type = I4_1/amd
! E_tot = -2.01 eV/atom
&SYSTEM
  ibrav = 0, nat = 10, ntyp = 2
/
ATOMIC_SPECIES
Hg 200.59 Hg.upf
P 30.97 P.upf
CELL_PARAMETERS angstrom
0.000 4.199 7.435
4.199 0.000 7.435
4.199 4.199 0.000
ATOMIC_POSITIONS crystal
Hg 0.475 0.275 0.775
Hg 0.475 0.775 0.275
Hg 0.975 0.775 0.775
Hg 0.475 0.775 0.775
Hg 0.850 0.150 0.150
Hg 0.100 0.400 0.400
P 0.344 0.644 0.156
P 0.856 0.156 0.644
P 0.606 0.906 0.394
P 0.094 0.394 0.906



12.
! PBE-GGA Hg3P5, relaxed; values from VASP
! Energy of formation from the pure elements = 192 meV per atom
! Space-group type = Cm
! E_tot = -3.30 eV/atom
&SYSTEM
  ibrav = 0, nat = 16, ntyp = 2
/
ATOMIC_SPECIES
P 30.97 P.upf
Hg 200.59 Hg.upf
CELL_PARAMETERS angstrom
-0.013 9.769 4.084
-6.571 -5.102 -4.570
1.327 -4.554 5.546
ATOMIC_POSITIONS crystal
P 0.026 0.782 0.500
P 0.750 0.520 0.500
P 0.797 0.059 0.893
P 0.299 0.804 0.122
P 0.946 0.900 0.314
P 0.422 0.321 0.686
P 0.676 0.181 0.878
P 0.404 0.666 0.107
P 0.236 0.135 0.314
P 0.132 0.086 0.686
Hg 0.552 0.678 0.854
Hg 0.198 0.325 0.146
Hg 0.358 0.918 0.500
Hg 0.669 0.897 0.500
Hg 0.925 0.524 0.821
Hg 0.604 0.203 0.179